## Pr2TcCl (PBE)

Data for a relaxed structure of Pr2TcCl.

a b c (Å): 3.5147 3.5147 8.0644
angles (deg): 90.00 90.00 90.00
Closest atoms and distances in Å follow each position.
Space group P4/mmm (No. 123)
One atom of each set of equivalent atoms:
Pr  0.0000  0.0000  0.2151 (multiplicity 2)  4 Tc 3.03, 4 Cl 3.38
Tc  0.5000  0.5000  0.0000 (multiplicity 1)  8 Pr 3.03
Cl  0.5000  0.5000  0.5000 (multiplicity 1)  8 Pr 3.38, 4 Cl 3.51

## Properties
Crystal system ... tetragonal
Energy above the most stable polymorph in this dataset ... 0.0 kJ/mol of formula units
Energy relative to the elements, uncorrected ... -0.642 eV per atom